VTePtN2 | PBE-GGA | optimized geometry

```
5
Lattice="3.8751 0.0000 0.0000 0.0000 3.8751 0.0000 0.0000 0.0000 5.5716" Properties=species:S:1:pos:R:3 pbc="T T T"
V 0.0000 0.0000 0.0000
Te 0.0000 0.0000 2.7858
Pt 1.9375 1.9375 0.0000
N 0.0000 1.9375 2.7858
N 1.9375 0.0000 2.7858
```

Computed properties:
Energy relative to the elements, uncorrected, kJ/mol of formula units: 907
Magnetization, μB per cell: 0.0
Density of states at the Fermi level, states/eV/f.u.: 6.71
Energy above the lowest structure with this stoichiometry, meV per atom: 1367.4